# 1
First-principles (PBE-GGA) data for CaCoTe3 after structural relaxation, as listed in Alexandria via LeMat-Bulk.

The volume is 38.59 Å³ per atom.

The structure belongs to space group Pm-3m (No. 221); the cell edges are 5.779, 5.779 and 5.779 Å and the angles 90.00°, 90.00° and 90.00°. The distinct sites, in fractional coordinates, are Ca at (0.000, 0.000, 0.000), Co at (0.500, 0.500, 0.500) and Te at (0.000, 0.000, 0.500).

# 2
First-principles (PBE-GGA) data for CaCo2Te2 after structural relaxation, as listed in Alexandria via LeMat-Bulk.

The volume is 20.29 Å³ per atom.

The structure belongs to space group P4/mbm (No. 127); the cell edges are 7.462, 7.462 and 3.644 Å and the angles 90.00°, 90.00° and 90.00°. The distinct sites, in fractional coordinates, are Ca at (0.000, 0.000, 0.000), Co at (0.108, 0.392, 0.000) and Te at (0.178, 0.678, 0.500).

Number 1: raw total energy -2.95 eV/atom, ρ 4.1 g cm⁻³. Number 2: raw total energy -4.61 eV/atom, ρ 6.8 g cm⁻³.